A plane-wave DFT calculation with PBE was carried out for an optimized crystal structure of K2MgPt.

Calculated values
SG: I-4m2 (119)
Formation enthalpy at 0 K (meV/atom): 82.1
E_tot (eV/atom): -2.375
Fermi-level density of states (states/eV per atom): 0.345

a = 5.349 Å, b = 5.349 Å, c = 7.551 Å
α = 90.00°, β = 90.00°, γ = 90.00°
Atoms (fractional coordinates):
K (0.000, 0.000, 0.000)
K (0.000, 0.500, 0.250)
K (0.500, 0.000, 0.750)
K (0.500, 0.500, 0.500)
Mg (0.000, 0.000, 0.500)
Mg (0.500, 0.500, 0.000)
Pt (0.000, 0.500, 0.750)
Pt (0.500, 0.000, 0.250)